The following is a DFT calculation (GGA-PBE) of an optimized crystal structure of Nd12Pa3Ga5.

Geometry as POSCAR:
```
Nd12Pa3Ga5
1.0
-7.4208 4.0613 -12.9814
-6.2413 -13.0013 5.6650
-1.3163 11.3481 10.4674
Pa Ga Nd
12 20 48
direct
0.1250 0.8750 0.7500
0.2500 0.6250 0.8750
0.6250 0.3750 0.7500
0.7500 0.8750 0.6250
0.7500 0.3750 0.1250
0.8750 0.1250 0.2500
0.2500 0.1250 0.3750
0.3750 0.7500 0.6250
0.6250 0.2500 0.3750
0.1250 0.2500 0.8750
0.8750 0.7500 0.1250
0.3750 0.6250 0.2500
0.8750 0.2500 0.6250
0.0000 0.5000 0.5000
0.2500 0.3750 0.6250
0.6250 0.7500 0.8750
0.0000 0.0000 0.5000
0.5000 0.0000 0.0000
0.3750 0.2500 0.1250
0.1250 0.7500 0.3750
0.5000 0.5000 0.5000
0.7500 0.6250 0.3750
0.5000 0.5000 0.0000
0.2500 0.8750 0.1250
0.3750 0.1250 0.7500
0.8750 0.6250 0.7500
0.0000 0.0000 0.0000
0.7500 0.1250 0.8750
0.0000 0.5000 0.0000
0.6250 0.8750 0.2500
0.1250 0.3750 0.2500
0.5000 0.0000 0.5000
0.1206 0.4007 0.0740
0.5993 0.7198 0.6733
0.4535 0.7802 0.8794
0.6733 0.2198 0.5993
0.8267 0.9260 0.0465
0.4535 0.6733 0.0740
0.4260 0.3794 0.5993
0.6206 0.5740 0.9007
0.5740 0.9535 0.6733
0.4007 0.1206 0.5740
0.0465 0.6206 0.7198
0.6733 0.4535 0.5740
0.9260 0.0993 0.8794
0.9535 0.5740 0.1733
0.4007 0.2802 0.3267
0.9260 0.8267 0.5465
0.9007 0.0740 0.6206
0.5740 0.6206 0.4007
0.8794 0.5993 0.9260
0.5465 0.3267 0.9260
0.3267 0.7802 0.4007
0.1733 0.0993 0.7198
0.8267 0.9007 0.2802
0.3794 0.9535 0.7802
0.9007 0.8267 0.7802
0.0993 0.9260 0.3794
0.2802 0.8794 0.9535
0.1206 0.7198 0.5465
0.9535 0.3794 0.2802
0.0465 0.4260 0.8267
0.7198 0.5993 0.1733
0.8794 0.2802 0.4535
0.0740 0.9007 0.1206
0.2198 0.6733 0.0993
0.0993 0.1733 0.2198
0.7198 0.1206 0.0465
0.2198 0.5465 0.6206
0.5993 0.8794 0.4260
0.4260 0.0465 0.3267
0.3267 0.5465 0.4260
0.6206 0.0465 0.2198
0.2802 0.4007 0.8267
0.3794 0.4260 0.0993
0.1733 0.0740 0.9535
0.5465 0.2198 0.1206
0.7802 0.4535 0.3794
0.0740 0.1733 0.4535
0.7802 0.3267 0.9007
```

The formation energy from the elements comes out at 0.5135 eV/atom. As for the space-group type: Ia-3d. The total DFT energy (no corrections) comes out at -362.26 eV per cell.